[1]
Crystalline RbNaCl2 at its relaxed geometry. Source: Alexandria via LeMat-Bulk, functional PBE.

The calculation puts the energy relative to the elements, uncorrected at -1.8015 eV per atom. The total magnetization is 0.000 μB per formula unit. The calculation puts the electronic total energy at -3.2964 eV/atom.

The structure belongs to space group Amm2 (No. 38); the cell edges are 4.600, 4.179 and 14.157 Å and the angles 90.00°, 90.00° and 90.00°. The distinct sites, in fractional coordinates, are Rb at (0.000, 0.000, 0.000), Na at (0.500, 0.000, 0.230), Cl at (0.000, 0.000, 0.325) and Cl at (0.500, 0.000, 0.599).



[2]
Crystalline Rb4NaCl5 at its relaxed geometry. Source: Alexandria via LeMat-Bulk, functional PBE.

The calculation puts the energy relative to the elements, uncorrected at -1.8929 eV per atom. The total magnetization is 0.106 μB per formula unit. The calculation puts the electronic total energy at -3.3351 eV/atom.

The structure belongs to space group R-3m (No. 166, hexagonal axes); the cell edges are 4.5791, 4.5791 and 56.6758 Å and the angles 90.00°, 90.00° and 120.00°. The distinct sites, in fractional coordinates, are Rb at (0.0000, 0.0000, 0.1053), Rb at (0.0000, 0.0000, 0.2981), Na at (0.0000, 0.0000, 0.5000), Cl at (0.0000, 0.0000, 0.0000), Cl at (0.0000, 0.0000, 0.1923) and Cl at (0.0000, 0.0000, 0.4040).



[3]
Crystalline Rb2NaCl2 at its relaxed geometry. Source: Alexandria via LeMat-Bulk, functional PBE.

The value obtained for the offset from the most stable computed form is 0.122 eV/atom. The calculation puts the energy relative to the elements, uncorrected at -1.2532 eV per atom. The total magnetization is 0.552 μB per formula unit. The calculation puts the electronic total energy at -2.6427 eV/atom.

The structure belongs to space group I4/mmm (No. 139); the cell edges are 6.099, 6.099 and 14.143 Å and the angles 90.00°, 90.00° and 90.00°. The distinct sites, in fractional coordinates, are Rb at (0.000, 0.000, 0.182), Na at (0.000, 0.000, 0.500) and Cl at (0.000, 0.500, 0.250).